Record 1
# YEr2Fe6CoNi2 | OQMD | PBE | optimized geometry
# Total moment = 42.82 Bohr magnetons per cell
# Final energy = -257.14 eV per cell
# Crystal system = trigonal
# E_form = -2.03 eV per formula unit
data_YEr2Fe6CoNi2
_chemical_formula_sum 'Y3 Er6 Fe18 Co3 Ni6'
_cell_length_a 5.0016
_cell_length_b 5.0016
_cell_length_c 24.5201
_cell_angle_alpha 90.00
_cell_angle_beta 90.00
_cell_angle_gamma 120.00
_space_group_name_H-M_alt 'R -3 m'
_space_group_IT_number 166
_space_group_name_Hall '-R 3 2"'
loop_
_atom_site_label
_atom_site_fract_x
_atom_site_fract_y
_atom_site_fract_z
Y1 0.0000 0.0000 0.0000
Er1 0.0000 0.0000 0.1420
Fe1 0.0008 0.5004 0.9173
Co1 0.0000 0.0000 0.5000
Ni1 0.0000 0.0000 0.3328

Record 2
# TbUSb | OQMD | PBE | optimized geometry
# Total moment = 20.67 Bohr magnetons per cell
# Final energy = -72.80 eV per cell
# Crystal system = cubic
data_TbUSb
_chemical_formula_sum 'Tb4 U4 Sb4'
_cell_length_a 7.3126
_cell_length_b 7.3126
_cell_length_c 7.3126
_cell_angle_alpha 90.00
_cell_angle_beta 90.00
_cell_angle_gamma 90.00
_space_group_name_H-M_alt 'F -4 3 m'
_space_group_IT_number 216
_space_group_name_Hall 'F -4 2 3'
loop_
_atom_site_label
_atom_site_fract_x
_atom_site_fract_y
_atom_site_fract_z
Tb1 0.0000 0.0000 0.0000
U1 0.2500 0.2500 0.7500
Sb1 0.0000 0.0000 0.5000

Record 3
# CdPtSO | OQMD | PBE | optimized geometry
# Total moment = 0.01 Bohr magnetons per cell
# Final energy = -32.02 eV per cell
# Crystal system = tetragonal
# Excess energy over the best structure of this formula in the dataset = 445.6 meV/atom
data_CdPtSO
_chemical_formula_sum 'Cd2 Pt2 S2 O2'
_cell_length_a 3.8658
_cell_length_b 3.8658
_cell_length_c 8.8984
_cell_angle_alpha 90.00
_cell_angle_beta 90.00
_cell_angle_gamma 90.00
_space_group_name_H-M_alt 'P 4/n m m'
_space_group_IT_number 129
loop_
_space_group_symop_operation_xyz
'x,y,z'
'-x,-y,-z'
'-y+1/2,x,z'
'y+1/2,-x,-z'
'-x+1/2,-y+1/2,z'
'x+1/2,y+1/2,-z'
'y,-x+1/2,z'
'-y,x+1/2,-z'
'x+1/2,-y,-z'
'-x+1/2,y,z'
'-y,-x,-z'
'y,x,z'
'-x,y+1/2,-z'
'x,-y+1/2,z'
'y+1/2,x+1/2,-z'
'-y+1/2,-x+1/2,z'
loop_
_atom_site_label
_atom_site_fract_x
_atom_site_fract_y
_atom_site_fract_z
Cd1 0.2500 0.2500 0.1480
Pt1 0.2500 0.2500 0.6705
S1 0.2500 0.7500 0.5000
O1 0.2500 0.2500 0.9032

Record 4
# NbInFeIr | OQMD | PBE | optimized geometry
# Total moment = 4.55 Bohr magnetons per cell
# Final energy = -122.04 eV per cell
# Crystal system = cubic
# Excess energy over the best structure of this formula in the dataset = 0.0 meV/atom
data_NbInFeIr
_chemical_formula_sum 'Nb4 In4 Fe4 Ir4'
_cell_length_a 6.3424
_cell_length_b 6.3424
_cell_length_c 6.3424
_cell_angle_alpha 90.00
_cell_angle_beta 90.00
_cell_angle_gamma 90.00
_space_group_name_H-M_alt 'F -4 3 m'
_space_group_IT_number 216
_space_group_name_Hall 'F -4 2 3'
loop_
_atom_site_label
_atom_site_fract_x
_atom_site_fract_y
_atom_site_fract_z
Nb1 0.0000 0.0000 0.0000
In1 0.0000 0.0000 0.5000
Fe1 0.2500 0.2500 0.7500
Ir1 0.2500 0.2500 0.2500